Entry from Alexandria via LeMat-Bulk: a relaxed structure of Li4Mn3F10 (PBE with a Hubbard U).

Properties
Relative energy among the computed polymorphs in eV per atom: 0.013

Geometry as CIF:
```
data_Li4Mn3F10
_chemical_formula_sum 'Li16 Mn12 F40'
_symmetry_space_group_name_H-M 'C 1 2/c 1'
_symmetry_Int_Tables_number 15
_cell_length_a 11.323
_cell_length_b 16.252
_cell_length_c 5.233
_cell_angle_alpha 90.00
_cell_angle_beta 101.22
_cell_angle_gamma 90.00
loop_
_symmetry_equiv_pos_as_xyz
'x,y,z'
'-x,-y,-z'
'-x,y,-z+1/2'
'x,-y,z+1/2'
'x+1/2,y+1/2,z'
'-x+1/2,-y+1/2,-z'
'-x+1/2,y+1/2,-z+1/2'
'x+1/2,-y+1/2,z+1/2'
loop_
_atom_site_label
_atom_site_type_symbol
_atom_site_fract_x
_atom_site_fract_y
_atom_site_fract_z
Li1 Li 0.000 0.082 0.250
Li2 Li 0.000 0.221 0.750
Li3 Li 0.137 0.249 0.331
Mn1 Mn 0.000 0.400 0.750
Mn2 Mn 0.192 0.081 0.842
F1 F 0.028 0.305 0.511
F2 F 0.083 0.154 0.047
F3 F 0.120 0.026 0.486
F4 F 0.140 0.456 0.974
F5 F 0.218 0.189 0.655
```